TaIr2Br: relaxed, PBE.

Calculated volume in Å³ per cell: 65.4
Distance to the lowest polymorph of the same formula in meV per atom: 551
SG: No. 47

a b c (Å): 2.929 4.706 4.746
angles (deg): 90.00 90.00 90.00
Fractional coordinates of all 4 atoms:
Ta1 0.000 0.000 0.000
Ir1 0.000 0.500 0.500
Ir2 0.500 0.500 0.000
Br1 0.500 0.000 0.500

=====

MnRe2Rh: relaxed, PBE.

Calculated volume in Å³ per cell: 125.5
Distance to the lowest polymorph of the same formula in meV per atom: 592
SG: No. 122
ΔH_f (0 K) in eV/atom: 0.5664

a b c (Å): 9.583 9.583 9.583
angles (deg): 157.80 157.80 31.59
Fractional coordinates of all 8 atoms:
Mn1 0.000 0.000 0.000
Mn2 0.750 0.250 0.500
Re1 0.100 0.625 0.975
Re2 0.375 0.350 0.475
Re3 0.650 0.125 0.025
Re4 0.875 0.900 0.525
Rh1 0.250 0.750 0.500
Rh2 0.500 0.500 0.000

=====

MnAlAu3: relaxed, PBE.

Calculated volume in Å³ per cell: 184.5
Distance to the lowest polymorph of the same formula in meV per atom: 131
SG: No. 11
ΔH_f (0 K) in eV/atom: -0.0913

a b c (Å): 4.817 7.085 5.572
angles (deg): 90.00 104.00 90.00
Fractional coordinates of all 10 atoms:
Mn1 0.182 0.250 0.259
Mn2 0.818 0.750 0.741
Al1 0.031 0.250 0.748
Al2 0.969 0.750 0.252
Au1 0.287 0.546 0.620
Au2 0.287 0.954 0.620
Au3 0.403 0.750 0.068
Au4 0.597 0.250 0.932
Au5 0.713 0.046 0.380
Au6 0.713 0.454 0.380

=====

Li8Ag2Sn3: relaxed, PBE.

Calculated volume in Å³ per cell: 244.6
SG: No. 166
ΔH_f (0 K) in eV/atom: -0.1823

a b c (Å): 10.213 10.213 10.213
angles (deg): 30.59 30.59 30.59
Fractional coordinates of all 13 atoms:
Li1 0.221 0.221 0.221
Li2 0.233 0.233 0.724
Li3 0.233 0.724 0.233
Li4 0.276 0.767 0.767
Li5 0.724 0.233 0.233
Li6 0.767 0.276 0.767
Li7 0.767 0.767 0.276
Li8 0.779 0.779 0.779
Ag1 0.135 0.135 0.135
Ag2 0.865 0.865 0.865
Sn1 0.316 0.316 0.316
Sn2 0.500 0.500 0.500
Sn3 0.684 0.684 0.684

=====

CaY3Ir: relaxed, PBE.

Calculated volume in Å³ per cell: 139.1
Distance to the lowest polymorph of the same formula in meV per atom: 1878
SG: No. 221
ΔH_f (0 K) in eV/atom: 1.4748

a b c (Å): 5.181 5.181 5.181
angles (deg): 90.00 90.00 90.00
Fractional coordinates of all 5 atoms:
Ca1 0.000 0.000 0.000
Y1 0.000 0.000 0.500
Y2 0.000 0.500 0.000
Y3 0.500 0.000 0.000
Ir1 0.500 0.500 0.500

=====

La4NdSm3: relaxed, PBE.

Calculated volume in Å³ per cell: 286.5
Distance to the lowest polymorph of the same formula in meV per atom: 133
SG: No. 65
ΔH_f (0 K) in eV/atom: 0.3382

a b c (Å): 9.116 9.116 3.481
angles (deg): 90.00 90.00 97.84
Fractional coordinates of all 8 atoms:
La1 0.248 0.752 0.000
La2 0.250 0.250 0.500
La3 0.750 0.750 0.500
La4 0.752 0.248 0.000
Nd1 0.500 0.500 0.000
Sm1 0.000 0.000 0.000
Sm2 0.000 0.500 0.500
Sm3 0.500 0.000 0.500

=====

Tl6Hg2Bi: relaxed, PBE.

Calculated volume in Å³ per cell: 584.3
Distance to the lowest polymorph of the same formula in meV per atom: 31
SG: No. 63
ΔH_f (0 K) in eV/atom: 0.0264

a b c (Å): 10.647 10.647 5.404
angles (deg): 90.00 90.00 72.53
Fractional coordinates of all 18 atoms:
Tl1 0.066 0.747 0.750
Tl2 0.121 0.470 0.250
Tl3 0.253 0.934 0.750
Tl4 0.325 0.475 0.750
Tl5 0.470 0.121 0.750
Tl6 0.475 0.325 0.250
Tl7 0.525 0.675 0.750
Tl8 0.530 0.879 0.250
Tl9 0.675 0.525 0.250
Tl10 0.747 0.066 0.250
Tl11 0.879 0.530 0.750
Tl12 0.934 0.253 0.250
Hg1 0.119 0.262 0.750
Hg2 0.262 0.119 0.250
Hg3 0.738 0.881 0.750
Hg4 0.881 0.738 0.250
Bi1 0.318 0.682 0.250
Bi2 0.682 0.318 0.750

=====

LaScCd: relaxed, PBE.

Calculated volume in Å³ per cell: 96.4
Distance to the lowest polymorph of the same formula in meV per atom: 709
SG: No. 216
ΔH_f (0 K) in eV/atom: 0.5359

a b c (Å): 5.147 5.147 5.147
angles (deg): 60.00 60.00 60.00
Fractional coordinates of all 3 atoms:
La1 0.000 0.000 0.000
Sc1 0.250 0.250 0.250
Cd1 0.750 0.750 0.750

=====

TbPm2Tl: relaxed, PBE.

Calculated volume in Å³ per cell: 119.5
Distance to the lowest polymorph of the same formula in meV per atom: 16
SG: No. 71
ΔH_f (0 K) in eV/atom: -0.1793

a b c (Å): 6.155 6.155 6.155
angles (deg): 133.83 133.73 67.43
Fractional coordinates of all 4 atoms:
Tb1 0.000 0.000 0.000
Pm1 0.251 0.751 0.500
Pm2 0.749 0.249 0.500
Tl1 0.500 0.500 0.000

=====

Ba2Zn6GaIr: relaxed, PBE.

Calculated volume in Å³ per cell: 242.3
SG: No. 225
ΔH_f (0 K) in eV/atom: -0.1789

a b c (Å): 6.998 6.998 6.998
angles (deg): 60.00 60.00 60.00
Fractional coordinates of all 10 atoms:
Ba1 0.250 0.250 0.250
Ba2 0.750 0.750 0.750
Zn1 0.246 0.246 0.754
Zn2 0.246 0.754 0.246
Zn3 0.246 0.754 0.754
Zn4 0.754 0.246 0.246
Zn5 0.754 0.246 0.754
Zn6 0.754 0.754 0.246
Ga1 0.500 0.500 0.500
Ir1 0.000 0.000 0.000

=====

Sc3NbOs: relaxed, PBE.

Calculated volume in Å³ per cell: 123.6
Distance to the lowest polymorph of the same formula in meV per atom: 0
SG: No. 221
ΔH_f (0 K) in eV/atom: 0.4657

a b c (Å): 4.982 4.982 4.982
angles (deg): 90.00 90.00 90.00
Fractional coordinates of all 5 atoms:
Sc1 0.000 0.000 0.500
Sc2 0.000 0.500 0.000
Sc3 0.500 0.000 0.000
Nb1 0.500 0.500 0.500
Os1 0.000 0.000 0.000

=====

NiHgCl: relaxed, PBE.

Calculated volume in Å³ per cell: 61.8
Distance to the lowest polymorph of the same formula in meV per atom: 296
SG: No. 216

a b c (Å): 4.438 4.438 4.438
angles (deg): 60.00 60.00 60.00
Fractional coordinates of all 3 atoms:
Ni1 0.000 0.000 0.000
Hg1 0.250 0.250 0.250
Cl1 0.750 0.750 0.750

=====

Q: Among the records above, which one has the highest calculated volume?
A: Tl6Hg2Bi